Record 1
VASP calculation (PBE-GGA) on LaBe3Sb after structural relaxation.

Summary:
E_tot ... -2.277 eV per atom
Theoretical density ... 3.9 Mg/m³
M_tot ... 0.00 μB/f.u.
ΔE to the lowest computed polymorph ... 1035.1 meV/atom
Space group ... Pm-3m

a b c (Å): 4.972 4.972 4.972
angles (deg): 90.00 90.00 90.00
Atoms (fractional coordinates):
La (0.000, 0.000, 0.000)
Be (0.000, 0.000, 0.500)
Be (0.000, 0.500, 0.000)
Be (0.500, 0.000, 0.000)
Sb (0.500, 0.500, 0.500)

Record 2
VASP calculation (PBE-GGA) on La2PrCd4 after structural relaxation.

Summary:
E_tot ... -2.746 eV per atom
Theoretical density ... 6.3 Mg/m³
M_tot ... 0.00 μB/f.u.
Space group ... R-3m

a b c (Å): 9.440 9.440 9.440
angles (deg): 33.43 33.43 33.43
Atoms (fractional coordinates):
La (0.248, 0.248, 0.248)
La (0.752, 0.752, 0.752)
Pr (0.000, 0.000, 0.000)
Cd (0.125, 0.125, 0.125)
Cd (0.378, 0.378, 0.378)
Cd (0.622, 0.622, 0.622)
Cd (0.875, 0.875, 0.875)

Record 3
VASP calculation (PBE-GGA) on Mg2AgAu6 after structural relaxation.

Summary:
E_tot ... -3.069 eV per atom
Theoretical density ... 11.8 Mg/m³
M_tot ... 0.00 μB/f.u.
Space group ... C2/m

a b c (Å): 7.334 7.334 4.023
angles (deg): 105.83 105.83 67.25
Atoms (fractional coordinates):
Mg (0.172, 0.172, 0.172)
Mg (0.828, 0.828, 0.828)
Ag (0.500, 0.500, 0.500)
Au (0.073, 0.594, 0.333)
Au (0.242, 0.758, 0.000)
Au (0.406, 0.927, 0.667)
Au (0.594, 0.073, 0.333)
Au (0.758, 0.242, 0.000)
Au (0.927, 0.406, 0.667)

Record 4
VASP calculation (PBE-GGA) on SrEr4Au5 after structural relaxation.

Summary:
E_tot ... -4.482 eV per atom
Theoretical density ... 12.2 Mg/m³
M_tot ... 0.00 μB/f.u.
Space group ... P4/mmm

a b c (Å): 3.590 3.590 18.397
angles (deg): 90.00 90.00 90.00
Atoms (fractional coordinates):
Sr (0.000, 0.000, 0.000)
Er (0.000, 0.000, 0.207)
Er (0.000, 0.000, 0.403)
Er (0.000, 0.000, 0.597)
Er (0.000, 0.000, 0.793)
Au (0.500, 0.500, 0.121)
Au (0.500, 0.500, 0.306)
Au (0.500, 0.500, 0.500)
Au (0.500, 0.500, 0.694)
Au (0.500, 0.500, 0.879)

Record 5
VASP calculation (PBE-GGA) on LiAg2Bi3S6 after structural relaxation.

Summary:
E_tot ... -4.066 eV per atom
Theoretical density ... 6.5 Mg/m³
M_tot ... 0.00 μB/f.u.
Space group ... C2/m

a b c (Å): 8.897 8.897 7.846
angles (deg): 100.97 100.97 26.09
Atoms (fractional coordinates):
Li (0.000, 0.000, 0.000)
Ag (0.334, 0.334, 0.674)
Ag (0.666, 0.666, 0.326)
Bi (0.000, 0.000, 0.500)
Bi (0.333, 0.333, 0.170)
Bi (0.667, 0.667, 0.830)
S (0.161, 0.161, 0.082)
S (0.167, 0.167, 0.570)
S (0.497, 0.497, 0.241)
S (0.503, 0.503, 0.759)
S (0.833, 0.833, 0.430)
S (0.839, 0.839, 0.918)

Record 6
VASP calculation (PBE-GGA) on Y2GeOsC after structural relaxation.

Summary:
E_tot ... -8.038 eV per atom
Theoretical density ... 7.8 Mg/m³
M_tot ... 0.00 μB/f.u.
Space group ... P4/mmm

a b c (Å): 4.950 4.950 3.925
angles (deg): 90.00 90.00 90.00
Atoms (fractional coordinates):
Y (0.000, 0.500, 0.000)
Y (0.500, 0.000, 0.000)
Ge (0.000, 0.000, 0.500)
Os (0.500, 0.500, 0.500)
C (0.500, 0.500, 0.000)

Record 7
VASP calculation (PBE-GGA) on Tb2Ho3Th2 after structural relaxation.

Summary:
E_tot ... -5.265 eV per atom
Theoretical density ... 9.5 Mg/m³
M_tot ... 0.00 μB/f.u.
ΔE to the lowest computed polymorph ... 113.8 meV/atom
Space group ... C2/m

a b c (Å): 8.882 8.882 8.561
angles (deg): 118.55 118.55 22.32
Atoms (fractional coordinates):
Tb (0.063, 0.063, 0.219)
Tb (0.937, 0.937, 0.781)
Ho (0.285, 0.285, 0.369)
Ho (0.500, 0.500, 0.500)
Ho (0.715, 0.715, 0.631)
Th (0.348, 0.348, 0.043)
Th (0.652, 0.652, 0.957)

Record 8
VASP calculation (PBE-GGA) on BC3 after structural relaxation.

Summary:
E_tot ... -8.334 eV per atom
Theoretical density ... 3.2 Mg/m³
M_tot ... 0.00 μB/f.u.
ΔE to the lowest computed polymorph ... 12.1 meV/atom
Space group ... R-3m

a b c (Å): 8.965 8.965 8.965
angles (deg): 16.23 16.23 16.23
Atoms (fractional coordinates):
B (0.147, 0.147, 0.147)
B (0.853, 0.853, 0.853)
C (0.088, 0.088, 0.088)
C (0.343, 0.343, 0.343)
C (0.401, 0.401, 0.401)
C (0.599, 0.599, 0.599)
C (0.657, 0.657, 0.657)
C (0.912, 0.912, 0.912)

Question: Number 2 is which compound?
Answer: La2PrCd4